# 1
## TaTiTeH2 (GGA-PBE)

Data for TaTiTeH2 after structural relaxation.

Values from the calculation:
Total DFT energy (no corrections) in eV per atom: -4.916
Density of states at the Fermi level in states/eV/f.u.: 3.49
Volume in Å³ per cell: 83.8

Lattice parameters (Å, degrees): 3.799 5.805 3.799 90.00 90.00 90.00
Site moments in Bohr magnetons follow the coordinates.
Sites, in units of the cell vectors:
H  0.000  0.000  0.500  0.00
H  0.500  0.000  0.000  0.01
Ta  0.500  0.500  0.500  0.40
Ti  0.000  0.500  0.000  0.04
Te  0.000  0.000  0.000  0.00

---

# 2
## CuNi4Ge2 (GGA-PBE)

Data for CuNi4Ge2 after structural relaxation.

Values from the calculation:
ΔE to the lowest computed polymorph in eV/atom: 0.0000
Total DFT energy (no corrections) in eV per atom: -5.128
Density of states at the Fermi level in states/eV/f.u.: 4.98
Volume in Å³ per cell: 98.7
Formation energy from the elements in eV per atom: 0.080

Lattice parameters (Å, degrees): 3.448 3.448 8.652 101.49 101.49 90.00
Sites, in units of the cell vectors:
Ge  0.367  0.367  0.733
Ge  0.633  0.633  0.267
Ni  0.858  0.858  0.717
Ni  0.750  0.250  0.500
Ni  0.142  0.142  0.283
Ni  0.250  0.750  0.500
Cu  0.000  0.000  0.000